Entry from Alexandria: BaBeB2Se at its PBEsol-relaxed geometry (meta-GGA SCAN).

Computed properties:
Uncorrected formation energy in meV per atom: 670
M_tot in μB per formula unit: 0.000
Fermi-level density of states in states/eV/f.u.: 2.008

Lattice parameters (Å, degrees): 4.250 4.250 4.836 90.00 90.00 90.00
Fractional coordinates of all 5 atoms:
Ba  0.000  0.000  0.000
Be  0.500  0.500  0.500
B  0.000  0.500  0.500
B  0.500  0.000  0.500
Se  0.500  0.500  0.000